First-principles (GGA-PBE) data for a geometry-optimized Dy4Zn3Hg structure, as listed in Alexandria.

Unit cell a=5.084 b=5.084 c=7.280 alpha=90.00 beta=90.00 gamma=90.00
Fractional coordinates of all 8 atoms:
Dy 0.000 0.500 0.241
Dy 0.000 0.500 0.759
Dy 0.500 0.000 0.241
Dy 0.500 0.000 0.759
Zn 0.000 0.000 0.000
Zn 0.000 0.000 0.500
Zn 0.500 0.500 0.000
Hg 0.500 0.500 0.500

Output
DFT formation energy: -3.0 eV/f.u.
crystal system: tetragonal
DOS(E_F): 8.78 states/eV/f.u.
ΔE to the lowest computed polymorph: 0.0 meV/atom
space group: P4/mmm (123)
total moment: 0.000 μB per atom